The following is a DFT calculation (PBEsol) of a geometry-optimized NdCo9Si2 structure.

Summary:
Magnetic moment ... 0.746 μB per atom
ΔE_f (raw) ... -0.32 eV per atom

a b c (Å): 9.574 9.574 6.209
angles (deg): 90.00 90.00 90.00
Space group I4_1/amd (No. 141, origin choice 2)
Unique sites:
Nd: 0.000 0.250 0.375 (multiplicity 4)
Co: 0.000 0.250 0.875 (multiplicity 4)
Co: 0.125 0.044 0.685 (multiplicity 32)
Si: 0.000 0.000 0.000 (multiplicity 8)


The following is a DFT calculation (PBEsol) of a geometry-optimized ZrTa2Fe2 structure.

Summary:
Energy of formation ... -0.045 eV per atom
Magnetic moment ... 0.000 μB per atom

a b c (Å): 4.129 4.129 9.632
angles (deg): 90.00 90.00 90.00
Space group I4/mmm (No. 139)
Unique sites:
Zr: 0.000 0.000 0.000 (multiplicity 2)
Ta: 0.000 0.500 0.250 (multiplicity 4)
Fe: 0.000 0.000 0.389 (multiplicity 4)


The following is a DFT calculation (PBEsol) of a geometry-optimized PrCu2O4 structure.

Summary:
Magnetic moment ... 0.108 μB per atom
ΔE_f (raw) ... -1.63 eV per atom

a b c (Å): 5.785 5.785 9.671
angles (deg): 90.00 90.00 90.00
Space group I4_1/a (No. 88, origin choice 2)
Unique sites:
Pr: 0.000 0.250 0.125 (multiplicity 4)
Cu: 0.000 0.000 0.500 (multiplicity 8)
O: 0.143 0.471 0.325 (multiplicity 16)


Volume: 569.0, 164.2, 323.7 (Å³/cell)